The following is a PBE calculation of a geometry-optimized TbScPO structure, from OQMD.

Cell lengths 4.135, 4.135, 8.537 Å; angles 90.00, 90.00, 90.00 degrees
Element x y z (fractional)
O (0.750, 0.250, 0.000)
O (0.250, 0.750, 0.000)
P (0.750, 0.750, 0.319)
P (0.250, 0.250, 0.681)
Sc (0.750, 0.250, 0.500)
Sc (0.250, 0.750, 0.500)
Tb (0.250, 0.250, 0.118)
Tb (0.750, 0.750, 0.882)

Properties
As for the relative energy among the computed polymorphs: 0.000 eV per atom. The total energy comes out at -7.428 eV per atom. The symmetry is P4/nmm.

---

The following is a PBE calculation of a geometry-optimized TmScPO structure, from OQMD.

Cell lengths 4.416, 4.416, 8.387 Å; angles 90.00, 90.00, 90.00 degrees
Element x y z (fractional)
O (0.000, 0.000, 0.000)
O (0.500, 0.500, 0.000)
P (0.500, 0.000, 0.323)
P (0.000, 0.500, 0.677)
Sc (0.500, 0.000, 0.015)
Sc (0.000, 0.500, 0.985)
Tm (0.000, 0.000, 0.500)
Tm (0.500, 0.500, 0.500)

Properties
As for the relative energy among the computed polymorphs: 0.344 eV per atom. The total energy comes out at -7.036 eV per atom. The symmetry is P4/nmm.

---

The following is a PBE calculation of a geometry-optimized TmScPO structure, from OQMD.

Cell lengths 3.907, 6.772, 6.072 Å; angles 90.00, 90.00, 90.00 degrees
Element x y z (fractional)
O (0.000, 0.311, 0.383)
O (0.000, 0.689, 0.883)
P (0.500, 0.827, 0.379)
P (0.500, 0.173, 0.879)
Sc (0.500, 0.197, 0.454)
Sc (0.500, 0.803, 0.954)
Tm (0.000, 0.389, 0.038)
Tm (0.000, 0.611, 0.538)

Properties
As for the relative energy among the computed polymorphs: 0.167 eV per atom. The total energy comes out at -7.213 eV per atom. The symmetry is Pmc2_1.

---

The following is a PBE calculation of a geometry-optimized TmScPO structure, from OQMD.

Cell lengths 4.071, 6.857, 5.671 Å; angles 90.00, 90.00, 90.00 degrees
Element x y z (fractional)
O (0.000, 0.333, 0.378)
O (0.000, 0.667, 0.878)
P (0.500, 0.815, 0.425)
P (0.500, 0.185, 0.925)
Sc (0.000, 0.385, 0.018)
Sc (0.000, 0.615, 0.518)
Tm (0.500, 0.205, 0.434)
Tm (0.500, 0.795, 0.934)

Properties
As for the relative energy among the computed polymorphs: 0.040 eV per atom. The total energy comes out at -7.340 eV per atom. The symmetry is Pmc2_1.

---

The following is a PBE calculation of a geometry-optimized TmScPO structure, from OQMD.

Cell lengths 4.087, 4.087, 8.408 Å; angles 90.00, 90.00, 90.00 degrees
Element x y z (fractional)
O (0.000, 0.000, 0.000)
O (0.500, 0.500, 0.000)
P (0.500, 0.000, 0.314)
P (0.000, 0.500, 0.686)
Sc (0.000, 0.000, 0.500)
Sc (0.500, 0.500, 0.500)
Tm (0.000, 0.500, 0.113)
Tm (0.500, 0.000, 0.887)

Properties
As for the relative energy among the computed polymorphs: 0.000 eV per atom. The total energy comes out at -7.380 eV per atom. The symmetry is P4/nmm.

---

The following is a PBE calculation of a geometry-optimized ZrScPO structure, from OQMD.

Cell lengths 4.958, 3.850, 7.338 Å; angles 90.00, 90.00, 90.00 degrees
Element x y z (fractional)
O (0.750, 0.000, 0.163)
O (0.250, 0.000, 0.837)
P (0.250, 0.500, 0.363)
P (0.750, 0.500, 0.637)
Sc (0.750, 0.500, 0.275)
Sc (0.250, 0.500, 0.725)
Zr (0.250, 0.000, 0.134)
Zr (0.750, 0.000, 0.866)

Properties
As for the relative energy among the computed polymorphs: 0.000 eV per atom. The total energy comes out at -8.144 eV per atom. The symmetry is Pmma.

---

> The highest relative energy among the computed polymorphs belongs to which entry?

number 2

---

> Which formula does entry 1 have?

TbScPO